{
  "formula": "BaSm2Mg",
  "functional": "GGA-PBE",
  "state": "optimized geometry",
  "m_tot_mub_per_fu": 0.000,
  "mass_density_g_cm3": 5.21,
  "polymorph_energy_mev_per_atom": 0,
  "lattice": [[3.9121, 0.0000, 0.0000], [0.0000, 3.9121, 0.0000], [0.0000, 0.0000, 9.6361]],
  "species": ["Mg", "Ba", "Sm", "Sm"],
  "frac_coords": [[0.5000, 0.5000, 0.0000], [0.5000, 0.5000, 0.5000], [0.0000, 0.0000, 0.8127], [0.0000, 0.0000, 0.1873]]
}